PuZr2As4: optimized geometry, PBE-GGA.

a b c (Å): 3.9057 6.6431 12.7990
angles (deg): 90.00 90.00 107.10
Sites, in units of the cell vectors:
Zr 0.1355 0.2710 0.4438
Zr 0.8645 0.7290 0.5562
Zr 0.1355 0.2710 0.0562
Zr 0.8645 0.7290 0.9438
Pu 0.3930 0.7861 0.2500
Pu 0.6070 0.2139 0.7500
As 0.9411 0.8823 0.7500
As 0.7654 0.5307 0.1332
As 0.2346 0.4693 0.8668
As 0.5000 0.0000 0.5000
As 0.0589 0.1177 0.2500
As 0.2346 0.4693 0.6332
As 0.7654 0.5307 0.3668
As 0.5000 0.0000 0.0000

Energy   -7.993 eV per atom
Total moment   0.637 μB/atom
Density   7.6 g cm⁻³
Calculated formation energy   -0.846 eV/atom